Computed, not measured: crystalline LiDy2CrO5 at its relaxed geometry at the PBE+U level of DFT.

## Properties
Total magnetic moment   0.333 μB per atom
Final energy   -7.36 eV per atom
V   237.7 Å³ per cell

Cell: 6.4696 6.4696 5.6779 Å, 90.00 90.00 90.00°
Closest atoms and distances in Å follow each position.
Space group P4/mbm (No. 127)
Unique sites:
Li  0.0000  0.0000  0.0000 x2  10 O 2.84-2.86
Dy  0.1778  0.3222  0.5000 x4  4 O 2.21-2.38
Cr  0.0000  0.5000  0.0000 x2  4 O 1.89
O  0.0000  0.0000  0.5000 x2  4 Dy 2.38
O  0.1394  0.6394  0.2452 x8  1 Cr 1.89